Record 1
The following is a DFT calculation (PBE) of YSi2Hg after structural relaxation.

Unit cell a=8.808 b=8.808 c=8.808 alpha=22.71 beta=22.71 gamma=22.71
Positions (direct):
Hg  0.750  0.750  0.750
Y  0.250  0.250  0.250
Si  0.005  0.005  0.005
Si  0.495  0.495  0.495

Calculated values
As for the crystal system: trigonal. As for the energy relative to the elements, uncorrected: 0.282 eV/atom. For the total moment, the calculation gives 0.00 μB/atom. As for the density of states at the Fermi level: 0.8050 states/eV/atom.



Record 2
The following is a DFT calculation (PBE) of Nd5Dy2 after structural relaxation.

Unit cell a=6.378 b=9.420 c=8.678 alpha=94.38 beta=111.56 gamma=90.00
Positions (direct):
Dy  0.406  0.107  0.141
Dy  0.735  0.607  0.141
Dy  0.265  0.393  0.859
Dy  0.594  0.893  0.859
Nd  0.550  0.822  0.430
Nd  0.450  0.178  0.570
Nd  0.120  0.678  0.570
Nd  0.692  0.537  0.719
Nd  0.168  0.750  0.000
Nd  0.832  0.250  0.000
Nd  0.308  0.463  0.281
Nd  0.880  0.322  0.430
Nd  0.027  0.037  0.719
Nd  0.973  0.963  0.281

Calculated values
As for the crystal system: monoclinic. For the total moment, the calculation gives 0.00 μB/atom. The energy of formation is 28.5 meV per atom. The energy above the lowest structure with this stoichiometry comes out at 0 meV per atom. As for the density of states at the Fermi level: 1.7327 states/eV/atom.